# 1
# Ta9Ni2S6 meta-GGA SCAN single point on PBEsol structure
# Electronic total energy = -702.99 eV/f.u.
# D(E_F) = 0.356 states/eV/atom
# Formation energy from raw total energies = -0.802 eV per atom
data_Ta9Ni2S6
_chemical_formula_sum 'Ta9 Ni2 S6'
_space_group_name_H-M_alt 'P -6 2 m'
_space_group_IT_number 189
_space_group_name_Hall 'P -6 -2'
_cell_length_a 10.0855
_cell_length_b 10.0855
_cell_length_c 3.3561
_cell_angle_alpha 90.00
_cell_angle_beta 90.00
_cell_angle_gamma 120.00
loop_
_atom_site_label
_atom_site_type_symbol
_atom_site_fract_x
_atom_site_fract_y
_atom_site_fract_z
Ta1 Ta 0.0000 0.5460 0.0000
Ta2 Ta 0.1970 0.4604 0.5000
Ni1 Ni 0.3333 0.6667 0.0000
S1 S 0.0000 0.2949 0.0000
S2 S 0.0000 0.7294 0.5000



# 2
# AlV2C meta-GGA SCAN single point on PBEsol structure
# Electronic total energy = -55.15 eV/f.u.
# D(E_F) = 0.513 states/eV/atom
# Energy relative to the elements = -0.58 eV per atom
data_AlV2C
_chemical_formula_sum 'Al2 V4 C2'
_space_group_name_H-M_alt 'P 63/m m c'
_space_group_IT_number 194
_space_group_name_Hall '-P 6c 2c'
_cell_length_a 2.8804
_cell_length_b 2.8804
_cell_length_c 13.0292
_cell_angle_alpha 90.00
_cell_angle_beta 90.00
_cell_angle_gamma 120.00
loop_
_atom_site_label
_atom_site_type_symbol
_atom_site_fract_x
_atom_site_fract_y
_atom_site_fract_z
Al1 Al 0.3333 0.6667 0.2500
V1 V 0.3333 0.6667 0.5851
C1 C 0.0000 0.0000 0.0000



# 3
# CsNb2HgF meta-GGA SCAN single point on PBEsol structure
# Electronic total energy = -173.69 eV/f.u.
# D(E_F) = 0.483 states/eV/atom
# Formation energy from raw total energies = 0.417 eV per atom
data_CsNb2HgF
_chemical_formula_sum 'Cs1 Nb2 Hg1 F1'
_space_group_name_H-M_alt 'P 4/m m m'
_space_group_IT_number 123
_space_group_name_Hall '-P 4 2'
_cell_length_a 4.445
_cell_length_b 4.445
_cell_length_c 5.402
_cell_angle_alpha 90.00
_cell_angle_beta 90.00
_cell_angle_gamma 90.00
loop_
_atom_site_label
_atom_site_type_symbol
_atom_site_fract_x
_atom_site_fract_y
_atom_site_fract_z
Cs1 Cs 0.000 0.000 0.000
Nb1 Nb 0.000 0.500 0.500
Hg1 Hg 0.500 0.500 0.000
F1 F 0.000 0.000 0.500



# 4
# Ni3HRh meta-GGA SCAN single point on PBEsol structure
# Electronic total energy = -76.72 eV/f.u.
# D(E_F) = 1.133 states/eV/atom
data_Ni3HRh
_chemical_formula_sum 'Ni3 H1 Rh1'
_space_group_name_H-M_alt 'P m -3 m'
_space_group_IT_number 221
_space_group_name_Hall '-P 4 2 3'
_cell_length_a 4.464
_cell_length_b 4.464
_cell_length_c 4.464
_cell_angle_alpha 90.00
_cell_angle_beta 90.00
_cell_angle_gamma 90.00
loop_
_atom_site_label
_atom_site_type_symbol
_atom_site_fract_x
_atom_site_fract_y
_atom_site_fract_z
Ni1 Ni 0.000 0.000 0.500
H1 H 0.500 0.500 0.500
Rh1 Rh 0.000 0.000 0.000



# 5
# SbTe2Os meta-GGA SCAN single point on PBEsol structure
# Electronic total energy = -182.93 eV/f.u.
# D(E_F) = 0.491 states/eV/atom
# Formation energy from raw total energies = 0.179 eV per atom
data_SbTe2Os
_chemical_formula_sum 'Sb2 Te4 Os2'
_space_group_name_H-M_alt 'C 1 m 1'
_space_group_IT_number 8
_space_group_name_Hall 'C -2y'
_cell_length_a 9.145
_cell_length_b 3.816
_cell_length_c 6.264
_cell_angle_alpha 90.00
_cell_angle_beta 111.26
_cell_angle_gamma 90.00
loop_
_atom_site_label
_atom_site_type_symbol
_atom_site_fract_x
_atom_site_fract_y
_atom_site_fract_z
Sb1 Sb 0.000 0.000 0.000
Te1 Te 0.155 0.000 0.668
Te2 Te 0.345 0.000 0.319
Os1 Os 0.208 0.500 0.002



# 6
# LiMn3Al meta-GGA SCAN single point on PBEsol structure
# Electronic total energy = -61.93 eV/f.u.
# D(E_F) = 1.318 states/eV/atom
# Energy relative to the elements = 0.60 eV per atom
data_LiMn3Al
_chemical_formula_sum 'Li1 Mn3 Al1'
_space_group_name_H-M_alt 'P m -3 m'
_space_group_IT_number 221
_space_group_name_Hall '-P 4 2 3'
_cell_length_a 4.609
_cell_length_b 4.609
_cell_length_c 4.609
_cell_angle_alpha 90.00
_cell_angle_beta 90.00
_cell_angle_gamma 90.00
loop_
_atom_site_label
_atom_site_type_symbol
_atom_site_fract_x
_atom_site_fract_y
_atom_site_fract_z
Li1 Li 0.000 0.000 0.000
Mn1 Mn 0.000 0.500 0.500
Al1 Al 0.500 0.500 0.500



Question: What is the electronic total energy in the fourth record?
Answer: -76.72 eV/f.u.



Question: Which of these has the lowest electronic total energy?
Answer: Ta9Ni2S6